1.
Here is AcB2Ir2 after structural relaxation from Alexandria. Energies are from PBE.

* ρ: 13.04 g/cm³
* energy of formation from the pure elements: -15.64 kcal/mol of atoms
* space group: Fddd, No. 70
* uncorrected energy: -7.715 eV per atom

Lattice parameters (Å, degrees): 6.224 5.716 6.235 74.24 60.08 57.02
Element x y z (fractional)
1 Ac 0.875 0.750 0.250
2 Ac 0.125 0.250 0.750
3 Ir 0.506 0.750 0.989
4 Ir 0.244 0.750 0.511
5 Ir 0.756 0.250 0.489
6 Ir 0.494 0.250 0.011
7 B 0.450 0.601 0.750
8 B 0.550 0.399 0.250
9 B 0.200 0.100 0.250
10 B 0.800 0.900 0.750

***

2.
Here is Sc2NbIr after structural relaxation from Alexandria. Energies are from PBE.

* ρ: 7.71 g/cm³
* energy of formation from the pure elements: 0.16 kcal/mol of atoms
* ΔE to the lowest computed polymorph: 427 meV per atom
* space group: I-42d, No. 122
* uncorrected energy: -7.892 eV per atom

Lattice parameters (Å, degrees): 7.592 7.592 6.057 51.19 51.19 90.00
Element x y z (fractional)
1 Nb 0.500 0.500 0.000
2 Nb 0.250 0.750 0.500
3 Sc 0.083 0.625 0.250
4 Sc 0.667 0.125 0.250
5 Sc 0.875 0.917 0.750
6 Sc 0.375 0.333 0.750
7 Ir 0.000 0.000 0.000
8 Ir 0.750 0.250 0.500

***

3.
Here is GaSb2TeI after structural relaxation from Alexandria. Energies are from PBE.

* ρ: 5.89 g/cm³
* ΔE_f (raw): 448 meV per atom
* ΔE to the lowest computed polymorph: 0 meV per atom
* space group: P4/mmm, No. 123
* uncorrected energy: -2.745 eV per atom

Lattice parameters (Å, degrees): 5.492 5.492 5.307 90.00 90.00 90.00
Element x y z (fractional)
1 Te 0.000 0.000 0.500
2 Ga 0.000 0.000 0.000
3 Sb 0.000 0.500 0.000
4 Sb 0.500 0.000 0.000
5 I 0.500 0.500 0.500

***

4.
Here is CsSnMo2I after structural relaxation from Alexandria. Energies are from PBE.

* ρ: 4.61 g/cm³
* ΔE_f (raw): 1200 meV per atom
* space group: P4/mmm, No. 123
* uncorrected energy: -4.413 eV per atom

Lattice parameters (Å, degrees): 5.411 7.020 5.411 90.00 90.00 90.00
Element x y z (fractional)
1 Mo 0.000 0.000 0.500
2 Mo 0.500 0.000 0.000
3 I 0.000 0.500 0.000
4 Sn 0.000 0.000 0.000
5 Cs 0.500 0.500 0.500

***

5.
Here is SmGa3PdRu after structural relaxation from Alexandria. Energies are from PBE.

* ρ: 7.69 g/cm³
* energy of formation from the pure elements: -9.27 kcal/mol of atoms
* space group: Cmcm, No. 63
* uncorrected energy: -5.113 eV per atom

Lattice parameters (Å, degrees): 5.718 7.871 6.716 125.87 90.00 90.00
Element x y z (fractional)
1 Ga 0.250 0.308 0.616
2 Ga 0.500 0.237 0.000
3 Ga 0.000 0.763 0.000
4 Ga 0.750 0.692 0.384
5 Ga 0.000 0.237 0.000
6 Ga 0.500 0.763 0.000
7 Ru 0.250 0.084 0.168
8 Ru 0.750 0.916 0.832
9 Pd 0.750 0.462 0.924
10 Pd 0.250 0.538 0.076
11 Sm 0.750 0.202 0.404
12 Sm 0.250 0.798 0.596

***

6.
Here is LaTbSmCu after structural relaxation from Alexandria. Energies are from PBE.

* ρ: 7.49 g/cm³
* energy of formation from the pure elements: -1.81 kcal/mol of atoms
* space group: P4mm, No. 99
* uncorrected energy: -4.672 eV per atom

Lattice parameters (Å, degrees): 3.585 3.585 8.822 90.00 90.00 90.00
Element x y z (fractional)
1 La 0.000 0.000 0.075
2 Sm 0.500 0.500 0.763
3 Cu 0.000 0.000 0.565
4 Tb 0.500 0.500 0.382

***

7.
Here is LaCo2Rh after structural relaxation from Alexandria. Energies are from PBE.

* ρ: 9.11 g/cm³
* energy of formation from the pure elements: 3.54 kcal/mol of atoms
* space group: I-4m2, No. 119
* uncorrected energy: -6.469 eV per atom

Lattice parameters (Å, degrees): 4.809 4.809 4.809 128.93 128.93 75.13
Element x y z (fractional)
1 Co 0.000 0.000 0.000
2 Co 0.250 0.750 0.500
3 La 0.500 0.500 0.000
4 Rh 0.750 0.250 0.500

***

8.
Here is CdPSe2 after structural relaxation from Alexandria. Energies are from PBE.

* ρ: 5.71 g/cm³
* ΔE_f (raw): 167 meV per atom
* ΔE to the lowest computed polymorph: 199 meV per atom
* space group: Imm2, No. 44
* uncorrected energy: -3.156 eV per atom

Lattice parameters (Å, degrees): 7.123 7.123 7.123 151.01 149.89 42.29
Element x y z (fractional)
1 Se 0.951 0.951 0.000
2 Se 0.224 0.724 0.500
3 Cd 0.541 0.541 0.000
4 P 0.784 0.284 0.500

***

9.
Here is La3Tb3SmTe8 after structural relaxation from Alexandria. Energies are from PBE.

* ρ: 6.83 g/cm³
* ΔE_f (raw): -1491 meV per atom
* space group: R-3m, No. 166
* uncorrected energy: -5.393 eV per atom

Lattice parameters (Å, degrees): 8.880 8.880 8.960 119.71 90.00 119.99
Element x y z (fractional)
1 Te 0.254 0.990 0.744
2 Te 0.736 0.990 0.744
3 Te 0.254 0.508 0.744
4 Te 0.746 0.010 0.256
5 Te 0.745 0.490 0.736
6 Te 0.264 0.010 0.256
7 Te 0.255 0.510 0.264
8 Te 0.746 0.492 0.256
9 Sm 0.000 0.000 0.500
10 La 0.500 0.500 0.000
11 La 0.000 0.000 0.000
12 La 0.000 0.500 0.000
13 Tb 0.500 0.500 0.500
14 Tb 0.500 0.000 0.500
15 Tb 0.000 0.500 0.500

***

10.
Here is LuInIrRh after structural relaxation from Alexandria. Energies are from PBE.

* ρ: 13.64 g/cm³
* energy of formation from the pure elements: -16.47 kcal/mol of atoms
* space group: F-43m, No. 216
* uncorrected energy: -6.582 eV per atom

Lattice parameters (Å, degrees): 4.652 4.652 4.652 60.00 60.00 60.00
Element x y z (fractional)
1 Rh 0.000 0.000 0.000
2 Lu 0.250 0.250 0.250
3 Ir 0.500 0.500 0.500
4 In 0.750 0.750 0.750

***

11.
Here is Er6Tl5In after structural relaxation from Alexandria. Energies are from PBE.

* ρ: 10.40 g/cm³
* energy of formation from the pure elements: -5.80 kcal/mol of atoms
* ΔE to the lowest computed polymorph: 79 meV per atom
* space group: C2/m, No. 12
* uncorrected energy: -3.747 eV per atom

Lattice parameters (Å, degrees): 6.395 9.853 7.431 48.48 81.57 77.22
Element x y z (fractional)
1 Tl 0.500 0.836 0.328
2 Tl 0.500 0.500 0.000
3 Tl 0.000 0.330 0.340
4 Tl 0.500 0.164 0.672
5 Tl 0.000 0.670 0.660
6 In 0.000 0.000 0.000
7 Er 0.250 0.915 0.668
8 Er 0.250 0.584 0.332
9 Er 0.246 0.252 0.000
10 Er 0.754 0.748 0.000
11 Er 0.750 0.085 0.332
12 Er 0.750 0.416 0.668

***

12.
Here is NbTl2C after structural relaxation from Alexandria. Energies are from PBE.

* ρ: 10.53 g/cm³
* energy of formation from the pure elements: 42.56 kcal/mol of atoms
* ΔE to the lowest computed polymorph: 769 meV per atom
* space group: Fm-3m, No. 225
* uncorrected energy: -4.161 eV per atom

Lattice parameters (Å, degrees): 4.857 4.857 4.857 60.00 60.00 60.00
Element x y z (fractional)
1 Nb 0.500 0.500 0.500
2 C 0.000 0.000 0.000
3 Tl 0.250 0.250 0.250
4 Tl 0.750 0.750 0.750

***

Calculated volume per entry: 161 162 160 206 245 113 66 88 502 71 342 81 Å³/cell